Model A:
CsAcZr: optimized geometry, GGA-PBE.

Cell lengths 5.5606, 5.5606, 5.5606 Å; angles 60.00, 60.00, 60.00 degrees
Fractional positions:
Cs1 0.0000 0.0000 0.0000
Ac1 0.7500 0.7500 0.7500
Zr1 0.2500 0.2500 0.2500

**Total magnetic moment**: 0.000 μB/cell
**Space group**: F-43m (216)



Model B:
CsAcZr: optimized geometry, GGA-PBE.

Cell lengths 5.9726, 5.9726, 5.9726 Å; angles 60.00, 60.00, 60.00 degrees
Fractional positions:
Cs1 0.0000 0.0000 0.0000
Ac1 0.5000 0.5000 0.5000
Zr1 0.7500 0.7500 0.7500

**Total magnetic moment**: 4.323 μB/cell
**Space group**: F-43m (216)



The most stable arrangement is model B, and the next structure is 228 meV per atom less stable.



Model A:
AcGaCu: optimized geometry, GGA-PBE.

Cell lengths 5.0498, 5.0498, 5.0498 Å; angles 60.00, 60.00, 60.00 degrees
Fractional positions:
Ac1 0.0000 0.0000 0.0000
Ga1 0.2500 0.2500 0.2500
Cu1 0.7500 0.7500 0.7500

**Total magnetic moment**: 0.000 μB/cell
**Space group**: F-43m (216)



Model B:
AcGaCu: optimized geometry, GGA-PBE.

Cell lengths 4.8392, 4.8392, 4.8392 Å; angles 60.00, 60.00, 60.00 degrees
Fractional positions:
Ac1 0.0000 0.0000 0.0000
Ga1 0.2500 0.2500 0.2500
Cu1 0.5000 0.5000 0.5000

**Total magnetic moment**: 0.032 μB/cell
**Space group**: F-43m (216)



The most stable arrangement is model B, and the next structure is 312 meV per atom less stable.



Model A:
AcLuCu: optimized geometry, GGA-PBE.

Cell lengths 5.0486, 5.0486, 5.0486 Å; angles 60.00, 60.00, 60.00 degrees
Fractional positions:
Ac1 0.0000 0.0000 0.0000
Lu1 0.5000 0.5000 0.5000
Cu1 0.2500 0.2500 0.2500

**Total magnetic moment**: 0.002 μB/cell
**Space group**: F-43m (216)



Model B:
AcLuCu: optimized geometry, GGA-PBE.

Cell lengths 5.0960, 5.0960, 5.0960 Å; angles 60.00, 60.00, 60.00 degrees
Fractional positions:
Ac1 0.0000 0.0000 0.0000
Lu1 0.2500 0.2500 0.2500
Cu1 0.7500 0.7500 0.7500

**Total magnetic moment**: 0.001 μB/cell
**Space group**: F-43m (216)



The most stable arrangement is model A, and the next structure is 737 meV per atom less stable.



Model A:
AcCuNi: optimized geometry, GGA-PBE.

Cell lengths 4.8457, 4.8457, 4.8457 Å; angles 60.00, 60.00, 60.00 degrees
Fractional positions:
Ac1 0.0000 0.0000 0.0000
Cu1 0.7500 0.7500 0.7500
Ni1 0.2500 0.2500 0.2500

**Total magnetic moment**: 0.001 μB/cell
**Space group**: F-43m (216)



Model B:
AcCuNi: optimized geometry, GGA-PBE.

Cell lengths 4.6109, 4.6109, 4.6109 Å; angles 60.00, 60.00, 60.00 degrees
Fractional positions:
Ac1 0.0000 0.0000 0.0000
Cu1 0.5000 0.5000 0.5000
Ni1 0.2500 0.2500 0.2500

**Total magnetic moment**: 0.001 μB/cell
**Space group**: F-43m (216)



The most stable arrangement is model B, and the next structure is 477 meV per atom less stable.



Model A:
AcCuRe: optimized geometry, GGA-PBE.

Cell lengths 4.6225, 4.6225, 4.6225 Å; angles 60.00, 60.00, 60.00 degrees
Fractional positions:
Ac1 0.0000 0.0000 0.0000
Cu1 0.5000 0.5000 0.5000
Re1 0.2500 0.2500 0.2500

**Total magnetic moment**: 0.342 μB/cell
**Space group**: F-43m (216)



Model B:
AcCuRe: optimized geometry, GGA-PBE.

Cell lengths 4.8744, 4.8744, 4.8744 Å; angles 60.00, 60.00, 60.00 degrees
Fractional positions:
Ac1 0.0000 0.0000 0.0000
Cu1 0.7500 0.7500 0.7500
Re1 0.2500 0.2500 0.2500

**Total magnetic moment**: 2.961 μB/cell
**Space group**: F-43m (216)



The most stable arrangement is model A, and the next structure is 617 meV per atom less stable.



Model A:
AcTaCu: optimized geometry, GGA-PBE.

Cell lengths 4.7502, 4.7502, 4.7502 Å; angles 60.00, 60.00, 60.00 degrees
Fractional positions:
Ac1 0.0000 0.0000 0.0000
Ta1 0.7500 0.7500 0.7500
Cu1 0.5000 0.5000 0.5000

**Total magnetic moment**: 0.973 μB/cell
**Space group**: F-43m (216)



Model B:
AcTaCu: optimized geometry, GGA-PBE.

Cell lengths 4.9037, 4.9037, 4.9037 Å; angles 60.00, 60.00, 60.00 degrees
Fractional positions:
Ac1 0.0000 0.0000 0.0000
Ta1 0.2500 0.2500 0.2500
Cu1 0.7500 0.7500 0.7500

**Total magnetic moment**: 1.228 μB/cell
**Space group**: F-43m (216)



The most stable arrangement is model A, and the next structure is 465 meV per atom less stable.



Model A:
AcTlCu: optimized geometry, GGA-PBE.

Cell lengths 5.2341, 5.2341, 5.2341 Å; angles 60.00, 60.00, 60.00 degrees
Fractional positions:
Ac1 0.0000 0.0000 0.0000
Tl1 0.2500 0.2500 0.2500
Cu1 0.7500 0.7500 0.7500

**Total magnetic moment**: 0.000 μB/cell
**Space group**: F-43m (216)



Model B:
AcTlCu: optimized geometry, GGA-PBE.

Cell lengths 5.1197, 5.1197, 5.1197 Å; angles 60.00, 60.00, 60.00 degrees
Fractional positions:
Ac1 0.0000 0.0000 0.0000
Tl1 0.2500 0.2500 0.2500
Cu1 0.5000 0.5000 0.5000

**Total magnetic moment**: 0.286 μB/cell
**Space group**: F-43m (216)



The most stable arrangement is model B, and the next structure is 167 meV per atom less stable.



Model A:
AcZnCu: optimized geometry, GGA-PBE.

Cell lengths 4.8271, 4.8271, 4.8271 Å; angles 60.00, 60.00, 60.00 degrees
Fractional positions:
Ac1 0.0000 0.0000 0.0000
Zn1 0.2500 0.2500 0.2500
Cu1 0.5000 0.5000 0.5000

**Total magnetic moment**: 0.002 μB/cell
**Space group**: F-43m (216)



Model B:
AcZnCu: optimized geometry, GGA-PBE.

Cell lengths 4.7956, 4.7956, 4.7956 Å; angles 60.00, 60.00, 60.00 degrees
Fractional positions:
Ac1 0.0000 0.0000 0.0000
Zn1 0.5000 0.5000 0.5000
Cu1 0.2500 0.2500 0.2500

**Total magnetic moment**: 0.002 μB/cell
**Space group**: F-43m (216)



The most stable arrangement is model B, and the next structure is 160 meV per atom less stable.